Below is a geometry-optimized Np2AlGa3Pt4 structure, with properties calculated at the GGA-PBE level.

Computed properties:
As for the total magnetization: 8.2 μB/cell. The value obtained for the raw total energy is -6.924 eV/atom. Its symmetry is No. 115. The density of states at the Fermi level is 2.287 states/eV per atom.

a = 4.1155 Å, b = 4.1155 Å, c = 11.0657 Å
α = 90.00°, β = 90.00°, γ = 90.00°
Atoms (fractional coordinates):
Np  0.0000  0.5000  0.2492
Np  0.5000  0.0000  0.7508
Al  0.5000  0.5000  0.0000
Ga  0.0000  0.0000  0.0000
Ga  0.0000  0.5000  0.6347
Ga  0.5000  0.0000  0.3653
Pt  0.0000  0.0000  0.5000
Pt  0.0000  0.5000  0.8606
Pt  0.5000  0.0000  0.1394
Pt  0.5000  0.5000  0.5000